Here is a relaxed structure of CeGa5Pt2Au from Alexandria. Energies are from GGA-PBE.

Magnetic moment = 1.3 μB/f.u.
Fermi-level density of states = 10.8 states/eV per cell
SG = P4/mmm
DFT formation energy = -0.406 eV per atom

abc: 4.356 4.356 10.311
angles: 90.00 90.00 90.00
Each line ends with the local moment (μB).
Fractional positions:
1 Pt 0.500 0.500 0.728  0.01
2 Au 0.000 0.000 0.000  0.00
3 Ga 0.500 0.000 0.155  0.00
4 Ga 0.000 0.500 0.845  0.00
5 Pt 0.500 0.500 0.272  0.01
6 Ce 0.000 0.000 0.500  1.03
7 Ga 0.000 0.500 0.155  0.00
8 Ga 0.500 0.500 0.500  0.03
9 Ga 0.500 0.000 0.845  0.00